First-principles (GGA-PBE) data for crystalline La2TlP at its relaxed geometry, as listed in the Alexandria database.

Cell lengths 5.351, 5.351, 3.883 Å; angles 90.00, 90.00, 100.17 degrees
Atoms (fractional coordinates):
La 0.000 0.500 0.000
La 0.500 0.000 0.000
Tl 0.000 0.000 0.500
P 0.500 0.500 0.500

Results
ΔH_f (0 K)	-0.675	eV per atom
density of states at the Fermi level	0.875	states/eV per atom
excess energy over the best structure of this formula in the dataset	1.14	eV/f.u.
energy	-5.083	eV per atom
M_tot	0.004	μB per atom

First-principles (GGA-PBE) data for crystalline AcTmAgPd at its relaxed geometry, as listed in the Alexandria database.

Cell lengths 5.261, 5.261, 5.261 Å; angles 60.00, 60.00, 60.00 degrees
Atoms (fractional coordinates):
Ac 0.000 0.000 0.000
Tm 0.500 0.500 0.500
Ag 0.250 0.250 0.250
Pd 0.750 0.750 0.750

Results
ΔH_f (0 K)	-0.481	eV per atom
density of states at the Fermi level	0.692	states/eV per atom
energy	-4.637	eV per atom
M_tot	0.000	μB per atom

First-principles (GGA-PBE) data for crystalline MgMnHg2 at its relaxed geometry, as listed in the Alexandria database.

Cell lengths 4.723, 4.723, 3.502 Å; angles 90.00, 90.00, 90.00 degrees
Atoms (fractional coordinates):
Mg 0.000 0.000 0.000
Mn 0.500 0.500 0.000
Hg 0.000 0.500 0.500
Hg 0.500 0.000 0.500

Results
ΔH_f (0 K)	0.062	eV per atom
density of states at the Fermi level	0.407	states/eV per atom
energy	-2.780	eV per atom
M_tot	0.952	μB per atom

First-principles (GGA-PBE) data for crystalline Tb3TlNi at its relaxed geometry, as listed in the Alexandria database.

Cell lengths 8.828, 8.828, 3.845 Å; angles 90.00, 90.00, 110.54 degrees
Atoms (fractional coordinates):
Tb 0.173 0.418 0.500
Tb 0.186 0.814 0.000
Tb 0.418 0.173 0.500
Tb 0.582 0.827 0.500
Tb 0.814 0.186 0.000
Tb 0.827 0.582 0.500
Tl 0.000 0.000 0.500
Tl 0.500 0.500 0.000
Ni 0.000 0.500 0.000
Ni 0.500 0.000 0.000

Results
ΔH_f (0 K)	-0.222	eV per atom
density of states at the Fermi level	1.108	states/eV per atom
excess energy over the best structure of this formula in the dataset	0.39	eV/f.u.
energy	-4.630	eV per atom
M_tot	0.000	μB per atom